Here is a relaxed structure of SmUPt4 from Alexandria. Energies are from PBE-GGA.

The calculated formation energy is -0.82 eV per atom. The total energy comes out at -7.5190 eV per atom.

```
6
Lattice="0.000 3.862 3.862 3.862 0.000 3.862 3.862 3.862 0.000" Properties=species:S:1:pos:R:3 pbc="T T T"
Sm 0.000 0.000 0.000
U 5.792 5.792 5.792
Pt 2.897 2.897 2.897
Pt 4.826 4.826 2.897
Pt 4.826 2.897 4.826
Pt 2.897 4.826 4.826
```